First-principles (GGA-PBE) data for a relaxed Y2TlCoB crystal, as listed in Alexandria via LeMat-Bulk.

a b c (Å): 5.164 5.164 3.838
angles (deg): 90.00 90.00 90.00
Fractional coordinates of all 5 atoms:
Y: 0.000 0.500 0.000
Y: 0.500 0.000 0.000
Tl: 0.500 0.500 0.500
B: 0.000 0.000 0.000
Co: 0.000 0.000 0.500

D(E_F): 0.60 states/eV per atom
Final energy: -6.073 eV per atom
Crystal system: tetragonal
Energy relative to the elements: -0.26 eV per atom
SG: P4/mmm (123)

=====

First-principles (GGA-PBE) data for a relaxed Er2AgPb2 crystal, as listed in Alexandria via LeMat-Bulk.

a b c (Å): 4.909 6.399 9.746
angles (deg): 110.15 90.00 90.00
Fractional coordinates of all 10 atoms:
Er: 0.250 0.436 0.832
Er: 0.250 0.190 0.407
Er: 0.750 0.810 0.593
Er: 0.750 0.564 0.168
Ag: 0.750 0.716 0.891
Ag: 0.250 0.284 0.109
Pb: 0.750 0.318 0.618
Pb: 0.750 0.054 0.172
Pb: 0.250 0.946 0.828
Pb: 0.250 0.682 0.382

D(E_F): 0.66 states/eV per atom
Final energy: -4.088 eV per atom
Crystal system: monoclinic
Energy relative to the elements: -0.21 eV per atom
SG: P2_1/m (11)

=====

First-principles (GGA-PBE) data for a relaxed LaIr2W2 crystal, as listed in Alexandria via LeMat-Bulk.

a b c (Å): 4.441 4.441 6.117
angles (deg): 68.72 68.72 90.00
Fractional coordinates of all 5 atoms:
Ir: 0.750 0.250 0.500
Ir: 0.250 0.750 0.500
W: 0.373 0.373 0.253
W: 0.627 0.627 0.747
La: 0.000 0.000 0.000

D(E_F): 0.79 states/eV per atom
Energy above the lowest structure with this stoichiometry: 184 meV per atom
Final energy: -9.662 eV per atom
Crystal system: tetragonal
Energy relative to the elements: 0.05 eV per atom
SG: I4/mmm (139)

=====

First-principles (GGA-PBE) data for a relaxed Na3HoTl4 crystal, as listed in Alexandria via LeMat-Bulk.

a b c (Å): 5.397 5.397 8.421
angles (deg): 108.86 108.85 89.78
Fractional coordinates of all 8 atoms:
Na: 0.000 0.500 0.000
Na: 0.748 0.248 0.497
Na: 0.252 0.752 0.503
Tl: 0.379 0.379 0.757
Tl: 0.621 0.621 0.243
Tl: 0.121 0.121 0.243
Tl: 0.879 0.879 0.757
Ho: 0.500 0.000 0.000

D(E_F): 0.47 states/eV per atom
Final energy: -2.407 eV per atom
Crystal system: monoclinic
Energy relative to the elements: -0.16 eV per atom
SG: C2/m (12)

=====

First-principles (GGA-PBE) data for a relaxed Y2TiTcIr crystal, as listed in Alexandria via LeMat-Bulk.

a b c (Å): 5.325 4.666 5.325
angles (deg): 90.00 90.00 90.00
Each line ends with the local moment (μB).
Fractional coordinates of all 5 atoms:
Y: 0.000 0.000 0.500  -0.07
Y: 0.500 0.000 0.000  -0.14
Ir: 0.000 0.000 0.000  0.08
Tc: 0.500 0.500 0.500  2.29
Ti: 0.000 0.500 0.000  -0.61

D(E_F): 1.54 states/eV per atom
Final energy: -7.532 eV per atom
Crystal system: tetragonal
Energy relative to the elements: 0.48 eV per atom
SG: P4/mmm (123)

=====

First-principles (GGA-PBE) data for a relaxed PmHoHf crystal, as listed in Alexandria via LeMat-Bulk.

a b c (Å): 3.369 5.383 5.383
angles (deg): 120.00 90.00 90.00
Fractional coordinates of all 3 atoms:
Hf: 0.167 0.333 0.667
Ho: 0.667 0.667 0.333
Pm: 0.167 0.000 0.000

D(E_F): 2.10 states/eV per atom
Energy above the lowest structure with this stoichiometry: 84 meV per atom
Final energy: -6.207 eV per atom
Crystal system: hexagonal
Energy relative to the elements: 0.22 eV per atom
SG: P-6m2 (187)

=====

First-principles (GGA-PBE) data for a relaxed MnBe2Cl crystal, as listed in Alexandria via LeMat-Bulk.

a b c (Å): 4.154 4.991 2.820
angles (deg): 72.18 93.25 115.60
Each line ends with the local moment (μB).
Fractional coordinates of all 4 atoms:
Be: 0.000 0.000 0.000  -0.02
Be: 0.500 0.000 0.500  -0.02
Mn: 0.500 0.500 0.000  2.98
Cl: 0.000 0.500 0.500  0.04

D(E_F): 0.57 states/eV per atom
Energy above the lowest structure with this stoichiometry: 467 meV per atom
Final energy: -4.080 eV per atom
Crystal system: monoclinic
Formation energy from raw total energies: 537 meV per atom
SG: C2/m (12)

=====

First-principles (GGA-PBE) data for a relaxed AsIrPd2Pt crystal, as listed in Alexandria via LeMat-Bulk.

a b c (Å): 4.562 4.557 4.562
angles (deg): 90.00 90.00 90.00
Fractional coordinates of all 5 atoms:
As: 0.000 0.000 0.000
Ir: 0.000 0.500 0.000
Pd: 0.000 0.000 0.500
Pd: 0.500 0.000 0.000
Pt: 0.500 0.500 0.500

D(E_F): 1.43 states/eV per atom
Final energy: -5.289 eV per atom
Crystal system: tetragonal
Energy relative to the elements: 0.70 eV per atom
SG: P4/mmm (123)